1.
Material: TlSi2Te
Method: DFT, PBE
State: relaxed

a b c (Å): 5.1282 3.3193 6.4012
angles (deg): 90.98 90.00 90.00
Closest atoms and distances in Å follow each position.
Positions (direct):
Si 0.0000 0.5007 0.1033  2 Si 2.48-2.53
Si 0.0000 0.9993 0.3967  2 Si 2.48-2.53
Te 0.5000 0.2500 0.2500  4 Si 2.86
Tl 0.5000 0.7500 0.7500  2 Tl 3.32, 4 Si 3.53, 4 Te 3.58-3.63

Energy relative to the lowest polymorph listed for this composition, meV per atom: 194
Calculated volume, A^3/atom: 27.24

=====

2.
Material: Tl2SiTe
Method: DFT, PBE
State: relaxed

a b c (Å): 12.5122 12.5122 12.5122
angles (deg): 14.89 14.89 14.89
Closest atoms and distances in Å follow each position.
Positions (direct):
Si 0.2500 0.2500 0.2500  6 Si 3.24, 6 Tl 3.30
Te 0.7500 0.7500 0.7500  6 Te 3.24
Tl 0.9897 0.9897 0.9897  6 Tl 3.24, 3 Si 3.30
Tl 0.5103 0.5103 0.5103  6 Tl 3.24, 3 Si 3.30

Energy relative to the lowest polymorph listed for this composition, meV per atom: 264
Calculated volume, A^3/atom: 28.17

=====

3.
Material: TlSiTe4
Method: DFT, PBE
State: relaxed

a b c (Å): 6.3984 6.3984 6.3984
angles (deg): 60.00 60.00 60.00
Closest atoms and distances in Å follow each position.
Positions (direct):
Tl 0.7500 0.7500 0.7500  12 Te 3.75, 4 Si 3.92
Si 0.0000 0.0000 0.0000  12 Te 3.75, 4 Tl 3.92
Te 0.8771 0.3743 0.3743  6 Te 3.18-3.22
Te 0.3743 0.3743 0.8771  6 Te 3.18-3.22
Te 0.3743 0.8771 0.3743  6 Te 3.18-3.22
Te 0.3743 0.3743 0.3743  6 Te 3.18-3.22

Energy relative to the lowest polymorph listed for this composition, meV per atom: 556
Calculated volume, A^3/atom: 30.87

=====

4.
Material: TlSiTe2
Method: DFT, PBE
State: relaxed

a b c (Å): 3.9957 3.9957 8.7316
angles (deg): 76.77 76.77 60.00
Closest atoms and distances in Å follow each position.
Positions (direct):
Tl 0.4984 0.4984 0.5047  6 Te 3.44-3.53
Si 0.6668 0.6668 0.9997  6 Te 2.80-2.81
Te 0.0638 0.0638 0.8085  3 Si 2.81
Te 0.2710 0.2710 0.1871  3 Si 2.80

Calculated volume, A^3/atom: 29.11

=====

D(E_F) across the listed records, respectively: 1.24; 1.60; 4.05; 2.04 states/eV/cell.
M_tot across the listed records, respectively: 0.000; 0.000; 0.659; 0.000 μB per formula unit.
Uncorrected energy across the listed records, respectively: -14.50; -11.73; -17.12; -14.26 eV per cell.